DFT (GGA-PBE) results for an optimized crystal structure of KAgW.

Cell and atoms, written as CIF:
```
data_KAgW
_chemical_formula_sum 'K4 Ag4 W4'
_symmetry_space_group_name_H-M 'F -4 3 m'
_symmetry_Int_Tables_number 216
_symmetry_space_group_name_Hall 'F -4 2 3'
_cell_length_a 7.423
_cell_length_b 7.423
_cell_length_c 7.423
_cell_angle_alpha 90.00
_cell_angle_beta 90.00
_cell_angle_gamma 90.00
loop_
_atom_site_label
_atom_site_type_symbol
_atom_site_fract_x
_atom_site_fract_y
_atom_site_fract_z
K1 K 0.000 0.000 0.000
Ag1 Ag 0.250 0.250 0.250
W1 W 0.250 0.250 0.750
```

Calculated values
- energy above the most stable polymorph in this dataset (meV per atom) = 1625.8
- ΔE_f (eV per formula unit) = 7.416


DFT (GGA-PBE) results for an optimized crystal structure of HgBiI.

Cell and atoms, written as CIF:
```
data_HgBiI
_chemical_formula_sum 'Hg2 Bi2 I2'
_symmetry_space_group_name_H-M 'P 1 21 1'
_symmetry_Int_Tables_number 4
_cell_length_a 5.113
_cell_length_b 8.021
_cell_length_c 6.193
_cell_angle_alpha 90.00
_cell_angle_beta 108.14
_cell_angle_gamma 90.00
loop_
_symmetry_equiv_pos_as_xyz
'x,y,z'
'-x,y+1/2,-z'
loop_
_atom_site_label
_atom_site_type_symbol
_atom_site_fract_x
_atom_site_fract_y
_atom_site_fract_z
Hg1 Hg 0.018 0.000 0.020
Bi1 Bi 0.426 0.738 0.069
I1 I 0.332 0.823 0.571
```

Calculated values
- energy above the most stable polymorph in this dataset (meV per atom) = 67.0
- uncorrected formation energy (eV per atom) = -0.10


DFT (GGA-PBE) results for an optimized crystal structure of Ni2WS.

Cell and atoms, written as CIF:
```
data_Ni2WS
_chemical_formula_sum 'Ni8 W4 S4'
_symmetry_space_group_name_H-M 'I -4 2 d'
_symmetry_Int_Tables_number 122
_symmetry_space_group_name_Hall 'I -4 2bw'
_cell_length_a 6.581
_cell_length_b 6.581
_cell_length_c 4.802
_cell_angle_alpha 90.00
_cell_angle_beta 90.00
_cell_angle_gamma 90.00
loop_
_atom_site_label
_atom_site_type_symbol
_atom_site_fract_x
_atom_site_fract_y
_atom_site_fract_z
Ni1 Ni 0.209 0.250 0.125
W1 W 0.000 0.000 0.500
S1 S 0.000 0.000 0.000
```

Calculated values
- uncorrected formation energy (eV per atom) = 0.13


DFT (GGA-PBE) results for an optimized crystal structure of CsYTe2I.

Cell and atoms, written as CIF:
```
data_CsYTe2I
_chemical_formula_sum 'Cs1 Y1 Te2 I1'
_symmetry_space_group_name_H-M 'P 4/m m m'
_symmetry_Int_Tables_number 123
_symmetry_space_group_name_Hall '-P 4 2'
_cell_length_a 5.926
_cell_length_b 5.926
_cell_length_c 6.294
_cell_angle_alpha 90.00
_cell_angle_beta 90.00
_cell_angle_gamma 90.00
loop_
_atom_site_label
_atom_site_type_symbol
_atom_site_fract_x
_atom_site_fract_y
_atom_site_fract_z
Cs1 Cs 0.000 0.000 0.000
Y1 Y 0.500 0.500 0.500
Te1 Te 0.000 0.500 0.500
I1 I 0.500 0.500 0.000
```

Calculated values
- uncorrected formation energy (eV per atom) = -1.12


DFT (GGA-PBE) results for an optimized crystal structure of AcCdHgO.

Cell and atoms, written as CIF:
```
data_AcCdHgO
_chemical_formula_sum 'Ac2 Cd2 Hg2 O2'
_symmetry_space_group_name_H-M 'P 4/n m m'
_symmetry_Int_Tables_number 129
_cell_length_a 4.480
_cell_length_b 4.480
_cell_length_c 9.671
_cell_angle_alpha 90.00
_cell_angle_beta 90.00
_cell_angle_gamma 90.00
loop_
_symmetry_equiv_pos_as_xyz
'x,y,z'
'-x,-y,-z'
'-y+1/2,x,z'
'y+1/2,-x,-z'
'-x+1/2,-y+1/2,z'
'x+1/2,y+1/2,-z'
'y,-x+1/2,z'
'-y,x+1/2,-z'
'x+1/2,-y,-z'
'-x+1/2,y,z'
'-y,-x,-z'
'y,x,z'
'-x,y+1/2,-z'
'x,-y+1/2,z'
'y+1/2,x+1/2,-z'
'-y+1/2,-x+1/2,z'
loop_
_atom_site_label
_atom_site_type_symbol
_atom_site_fract_x
_atom_site_fract_y
_atom_site_fract_z
Ac1 Ac 0.250 0.250 0.120
Cd1 Cd 0.250 0.750 0.500
Hg1 Hg 0.250 0.250 0.698
O1 O 0.250 0.750 0.000
```

Calculated values
- uncorrected formation energy (eV per atom) = -1.57


DFT (GGA-PBE) results for an optimized crystal structure of NiAg2Cl.

Cell and atoms, written as CIF:
```
data_NiAg2Cl
_chemical_formula_sum 'Ni3 Ag6 Cl3'
_symmetry_space_group_name_H-M 'R -3 m'
_symmetry_Int_Tables_number 166
_symmetry_space_group_name_Hall '-R 3 2"'
_cell_length_a 3.1716
_cell_length_b 3.1716
_cell_length_c 24.0846
_cell_angle_alpha 90.00
_cell_angle_beta 90.00
_cell_angle_gamma 120.00
loop_
_atom_site_label
_atom_site_type_symbol
_atom_site_fract_x
_atom_site_fract_y
_atom_site_fract_z
Ni1 Ni 0.0000 0.0000 0.0000
Ag1 Ag 0.0000 0.0000 0.2536
Cl1 Cl 0.0000 0.0000 0.5000
```

Calculated values
- energy above the most stable polymorph in this dataset (meV per atom) = 151.2
- uncorrected formation energy (eV per atom) = 0.20


DFT (GGA-PBE) results for an optimized crystal structure of AcPr5NdDy2.

Cell and atoms, written as CIF:
```
data_AcPr5NdDy2
_chemical_formula_sum 'Ac4 Pr20 Nd4 Dy8'
_symmetry_space_group_name_H-M 'C m c 21'
_symmetry_Int_Tables_number 36
_cell_length_a 5.668
_cell_length_b 24.503
_cell_length_c 9.627
_cell_angle_alpha 90.00
_cell_angle_beta 90.00
_cell_angle_gamma 90.00
loop_
_symmetry_equiv_pos_as_xyz
'x,y,z'
'-x,-y,z+1/2'
'-x,y,z'
'x,-y,z+1/2'
'x+1/2,y+1/2,z'
'-x+1/2,-y+1/2,z+1/2'
'-x+1/2,y+1/2,z'
'x+1/2,-y+1/2,z+1/2'
loop_
_atom_site_label
_atom_site_type_symbol
_atom_site_fract_x
_atom_site_fract_y
_atom_site_fract_z
Ac1 Ac 0.000 0.103 0.000
Pr1 Pr 0.000 0.025 0.673
Pr2 Pr 0.000 0.105 0.392
Pr3 Pr 0.000 0.188 0.699
Pr4 Pr 0.000 0.241 0.069
Pr5 Pr 0.000 0.493 0.893
Nd1 Nd 0.000 0.266 0.392
Dy1 Dy 0.000 0.328 0.754
Dy2 Dy 0.000 0.388 0.136
```

Calculated values
- ΔE_f (eV per formula unit) = 1.267


DFT (GGA-PBE) results for an optimized crystal structure of TmSiPd2.

Cell and atoms, written as CIF:
```
data_TmSiPd2
_chemical_formula_sum 'Tm4 Si4 Pd8'
_symmetry_space_group_name_H-M 'P n m a'
_symmetry_Int_Tables_number 62
_cell_length_a 7.231
_cell_length_b 7.010
_cell_length_c 5.494
_cell_angle_alpha 90.00
_cell_angle_beta 90.00
_cell_angle_gamma 90.00
loop_
_symmetry_equiv_pos_as_xyz
'x,y,z'
'-x,-y,-z'
'-x+1/2,-y,z+1/2'
'x+1/2,y,-z+1/2'
'x+1/2,-y+1/2,-z+1/2'
'-x+1/2,y+1/2,z+1/2'
'-x,y+1/2,-z'
'x,-y+1/2,z'
loop_
_atom_site_label
_atom_site_type_symbol
_atom_site_fract_x
_atom_site_fract_y
_atom_site_fract_z
Tm1 Tm 0.026 0.250 0.140
Si1 Si 0.121 0.750 0.361
Pd1 Pd 0.180 0.052 0.594
```

Calculated values
- uncorrected formation energy (eV per atom) = -0.99


DFT (GGA-PBE) results for an optimized crystal structure of AlTeO4.

Cell and atoms, written as CIF:
```
data_AlTeO4
_chemical_formula_sum 'Al2 Te2 O8'
_symmetry_space_group_name_H-M 'P n c 2'
_symmetry_Int_Tables_number 30
_cell_length_a 4.984
_cell_length_b 4.692
_cell_length_c 5.695
_cell_angle_alpha 90.00
_cell_angle_beta 90.00
_cell_angle_gamma 90.00
loop_
_symmetry_equiv_pos_as_xyz
'x,y,z'
'-x,-y,z'
'-x,y+1/2,z+1/2'
'x,-y+1/2,z+1/2'
loop_
_atom_site_label
_atom_site_type_symbol
_atom_site_fract_x
_atom_site_fract_y
_atom_site_fract_z
Al1 Al 0.000 0.000 0.000
Te1 Te 0.500 0.000 0.325
O1 O 0.162 0.242 0.275
O2 O 0.315 0.713 0.558
```

Calculated values
- energy above the most stable polymorph in this dataset (meV per atom) = 75.3
- uncorrected formation energy (eV per atom) = -1.66


DFT (GGA-PBE) results for an optimized crystal structure of Sn5PbSe6.

Cell and atoms, written as CIF:
```
data_Sn5PbSe6
_chemical_formula_sum 'Sn10 Pb2 Se12'
_symmetry_space_group_name_H-M 'C 1 2/m 1'
_symmetry_Int_Tables_number 12
_cell_length_a 7.446
_cell_length_b 12.904
_cell_length_c 7.448
_cell_angle_alpha 90.00
_cell_angle_beta 109.46
_cell_angle_gamma 90.00
loop_
_symmetry_equiv_pos_as_xyz
'x,y,z'
'-x,-y,-z'
'-x,y,-z'
'x,-y,z'
'x+1/2,y+1/2,z'
'-x+1/2,-y+1/2,-z'
'-x+1/2,y+1/2,-z'
'x+1/2,-y+1/2,z'
loop_
_atom_site_label
_atom_site_type_symbol
_atom_site_fract_x
_atom_site_fract_y
_atom_site_fract_z
Sn1 Sn 0.000 0.000 0.000
Sn2 Sn 0.000 0.167 0.500
Sn3 Sn 0.000 0.334 0.000
Pb1 Pb 0.000 0.500 0.500
Se1 Se 0.245 0.000 0.751
Se2 Se 0.246 0.169 0.247
```

Calculated values
- uncorrected formation energy (eV per atom) = -0.45


DFT (GGA-PBE) results for an optimized crystal structure of Si2SbMo.

Cell and atoms, written as CIF:
```
data_Si2SbMo
_chemical_formula_sum 'Si4 Sb2 Mo2'
_symmetry_space_group_name_H-M 'C 1 m 1'
_symmetry_Int_Tables_number 8
_cell_length_a 8.257
_cell_length_b 3.375
_cell_length_c 5.812
_cell_angle_alpha 90.00
_cell_angle_beta 94.09
_cell_angle_gamma 90.00
loop_
_symmetry_equiv_pos_as_xyz
'x,y,z'
'x,-y,z'
'x+1/2,y+1/2,z'
'x+1/2,-y+1/2,z'
loop_
_atom_site_label
_atom_site_type_symbol
_atom_site_fract_x
_atom_site_fract_y
_atom_site_fract_z
Si1 Si 0.000 0.000 0.000
Si2 Si 0.232 0.500 0.827
Sb1 Sb 0.126 0.000 0.424
Mo1 Mo 0.437 0.000 0.697
```

Calculated values
- uncorrected formation energy (eV per atom) = 0.15


DFT (GGA-PBE) results for an optimized crystal structure of AuSe2Br.

Cell and atoms, written as CIF:
```
data_AuSe2Br
_chemical_formula_sum 'Au2 Se4 Br2'
_symmetry_space_group_name_H-M 'C 1 m 1'
_symmetry_Int_Tables_number 8
_cell_length_a 8.255
_cell_length_b 3.754
_cell_length_c 7.969
_cell_angle_alpha 90.00
_cell_angle_beta 107.11
_cell_angle_gamma 90.00
loop_
_symmetry_equiv_pos_as_xyz
'x,y,z'
'x,-y,z'
'x+1/2,y+1/2,z'
'x+1/2,-y+1/2,z'
loop_
_atom_site_label
_atom_site_type_symbol
_atom_site_fract_x
_atom_site_fract_y
_atom_site_fract_z
Au1 Au 0.000 0.000 0.000
Se1 Se 0.016 0.500 0.421
Se2 Se 0.149 0.500 0.210
Br1 Br 0.342 0.000 0.784
```

Calculated values
- uncorrected formation energy (eV per atom) = 0.00


Number 1: uncorrected energy -3.1621 eV per atom. Number 2: uncorrected energy -2.0115 eV per atom. Number 3: uncorrected energy -7.0278 eV per atom. Number 4: uncorrected energy -4.1539 eV per atom. Number 5: uncorrected energy -4.1384 eV per atom. Number 6: uncorrected energy -3.1339 eV per atom. Number 7: uncorrected energy -4.5234 eV per atom. Number 8: uncorrected energy -6.0600 eV per atom. Number 9: uncorrected energy -6.1128 eV per atom. Number 10: uncorrected energy -4.1734 eV per atom. Number 11: uncorrected energy -6.2956 eV per atom. Number 12: uncorrected energy -2.9812 eV per atom.